w) LiTlTe | GGA-PBEsol | relaxed

As for the spin magnetization: 0.0 μB per cell. The crystal system is tetragonal.

The space group is I4mm (No. 107) and the conventional cell measures 4.254, 4.254 and 9.125 Å, with angles of 90.00, 90.00 and 90.00 degrees. The distinct sites, in fractional coordinates, are Li at (0.000, 0.000, 0.000), Tl at (0.000, 0.000, 0.686) and Te at (0.000, 0.000, 0.340).



x) LiTlTe | GGA-PBEsol | relaxed

As for the spin magnetization: 0.0 μB per cell. The crystal system is cubic.

The space group is F-43m (No. 216) and the conventional cell measures 6.846, 6.846 and 6.846 Å, with angles of 90.00, 90.00 and 90.00 degrees. The distinct sites, in fractional coordinates, are Li at (0.000, 0.000, 0.000), Tl at (0.250, 0.250, 0.250) and Te at (0.250, 0.250, 0.750).



In order of decreasing stability: x), w).



w) Li2ZnTe | GGA-PBEsol | relaxed

As for the spin magnetization: 0.0 μB per cell. The crystal system is orthorhombic.

The space group is Amm2 (No. 38) and the conventional cell measures 4.061, 4.022 and 10.022 Å, with angles of 90.00, 90.00 and 90.00 degrees. The distinct sites, in fractional coordinates, are Li at (0.000, 0.000, 0.000), Li at (0.500, 0.000, 0.270), Zn at (0.500, 0.000, 0.533) and Te at (0.000, 0.000, 0.718).



x) Li2ZnTe | GGA-PBEsol | relaxed

As for the spin magnetization: 0.0 μB per cell. The crystal system is cubic.

The space group is F-43m (No. 216) and the conventional cell measures 6.900, 6.900 and 6.900 Å, with angles of 90.00, 90.00 and 90.00 degrees. The distinct sites, in fractional coordinates, are Li at (0.000, 0.000, 0.000), Li at (0.250, 0.250, 0.250), Zn at (0.250, 0.250, 0.750) and Te at (0.000, 0.000, 0.500).



y) Li2ZnTe | GGA-PBEsol | relaxed

As for the spin magnetization: 0.0 μB per cell. The crystal system is orthorhombic.

The space group is Pmmm (No. 47) and the conventional cell measures 3.140, 3.909 and 6.134 Å, with angles of 90.00, 90.00 and 90.00 degrees. The distinct sites, in fractional coordinates, are Li at (0.000, 0.000, 0.243), Zn at (0.500, 0.500, 0.000) and Te at (0.500, 0.500, 0.500).



In order of decreasing stability: w), y), x).



w) Li2YTl | GGA-PBEsol | relaxed

As for the spin magnetization: 0.0 μB per cell. The crystal system is monoclinic.

The space group is C2/m (No. 12) and the conventional cell measures 6.212, 10.883 and 3.320 Å, with angles of 90.00, 119.66 and 90.00 degrees. The distinct sites, in fractional coordinates, are Li at (0.250, 0.250, 0.000), Y at (0.000, 0.000, 0.500) and Tl at (0.000, 0.500, 0.500).



x) Li2YTl | GGA-PBEsol | relaxed

As for the spin magnetization: 0.0 μB per cell. The crystal system is cubic.

The space group is F-43m (No. 216) and the conventional cell measures 7.004, 7.004 and 7.004 Å, with angles of 90.00, 90.00 and 90.00 degrees. The distinct sites, in fractional coordinates, are Li at (0.000, 0.000, 0.000), Li at (0.250, 0.250, 0.250), Y at (0.250, 0.250, 0.750) and Tl at (0.000, 0.000, 0.500).



y) Li2YTl | GGA-PBEsol | relaxed

As for the spin magnetization: 0.0 μB per cell. The crystal system is cubic.

The space group is Fm-3m (No. 225) and the conventional cell measures 6.755, 6.755 and 6.755 Å, with angles of 90.00, 90.00 and 90.00 degrees. The distinct sites, in fractional coordinates, are Li at (0.250, 0.250, 0.250), Y at (0.000, 0.000, 0.000) and Tl at (0.000, 0.000, 0.500).



In order of decreasing stability: y), x), w).



w) LiW | GGA-PBEsol | relaxed

As for the spin magnetization: 0.0 μB per cell. The crystal system is orthorhombic.

The space group is Cmcm (No. 63) and the conventional cell measures 2.522, 11.310 and 4.306 Å, with angles of 90.00, 90.00 and 90.00 degrees. The distinct sites, in fractional coordinates, are Li at (0.000, 0.054, 0.250) and W at (0.000, 0.304, 0.250).



x) LiW | GGA-PBEsol | relaxed

As for the spin magnetization: 0.0 μB per cell. The crystal system is tetragonal.

The space group is P4/nmm (No. 129, origin choice 2) and the conventional cell measures 3.216, 3.216 and 6.249 Å, with angles of 90.00, 90.00 and 90.00 degrees. The distinct sites, in fractional coordinates, are Li at (0.250, 0.250, 0.123) and W at (0.250, 0.250, 0.594).



y) LiW | GGA-PBEsol | relaxed

As for the spin magnetization: 0.0 μB per cell. The crystal system is trigonal.

The space group is R-3m (No. 166, hexagonal axes) and the conventional cell measures 2.7278, 2.7278 and 29.8273 Å, with angles of 90.00, 90.00 and 120.00 degrees. The distinct sites, in fractional coordinates, are Li at (0.0000, 0.0000, 0.1228) and W at (0.0000, 0.0000, 0.3739).



In order of decreasing stability: y), w), x).



w) LiY2W | GGA-PBEsol | relaxed

As for the spin magnetization: 0.0 μB per cell. The crystal system is monoclinic.

The space group is P2/m (No. 10) and the conventional cell measures 5.322, 3.003 and 5.961 Å, with angles of 90.00, 113.39 and 90.00 degrees. The distinct sites, in fractional coordinates, are Li at (0.000, 0.000, 0.000), Y at (0.000, 0.000, 0.500), Y at (0.500, 0.500, 0.000) and W at (0.500, 0.500, 0.500).



x) LiY2W | GGA-PBEsol | relaxed

As for the spin magnetization: 0.0 μB per cell. The crystal system is tetragonal.

The space group is P4mm (No. 99) and the conventional cell measures 2.984, 2.984 and 9.783 Å, with angles of 90.00, 90.00 and 90.00 degrees. The distinct sites, in fractional coordinates, are Li at (0.000, 0.000, 0.000), Y at (0.000, 0.000, 0.426), Y at (0.500, 0.500, 0.743) and W at (0.500, 0.500, 0.199).



y) LiY2W | GGA-PBEsol | relaxed

As for the spin magnetization: 0.0 μB per cell. The crystal system is orthorhombic.

The space group is Pmm2 (No. 25) and the conventional cell measures 2.963, 4.799 and 6.172 Å, with angles of 90.00, 90.00 and 90.00 degrees. The distinct sites, in fractional coordinates, are Li at (0.000, 0.000, 0.000), Y at (0.000, 0.000, 0.443), Y at (0.500, 0.500, 0.772) and W at (0.500, 0.500, 0.270).



z) LiY2W | GGA-PBEsol | relaxed

As for the spin magnetization: 0.0 μB per cell. The crystal system is trigonal.

The space group is R3m (No. 160, hexagonal axes) and the conventional cell measures 3.0949, 3.0949 and 32.0954 Å, with angles of 90.00, 90.00 and 120.00 degrees. The distinct sites, in fractional coordinates, are Li at (0.0000, 0.0000, 0.0000), Y at (0.0000, 0.0000, 0.2439), Y at (0.0000, 0.0000, 0.4807) and W at (0.0000, 0.0000, 0.7384).



In order of decreasing stability: y), x), w), z).



w) LiYW2 | GGA-PBEsol | relaxed

As for the spin magnetization: 0.0 μB per cell. The crystal system is tetragonal.

The space group is P4mm (No. 99) and the conventional cell measures 2.740, 2.740 and 9.661 Å, with angles of 90.00, 90.00 and 90.00 degrees. The distinct sites, in fractional coordinates, are Li at (0.000, 0.000, 0.000), Y at (0.500, 0.500, 0.709), W at (0.000, 0.000, 0.456) and W at (0.500, 0.500, 0.225).



x) LiYW2 | GGA-PBEsol | relaxed

As for the spin magnetization: 0.0 μB per cell. The crystal system is tetragonal.

The space group is P4/mmm (No. 123) and the conventional cell measures 2.711, 2.711 and 9.508 Å, with angles of 90.00, 90.00 and 90.00 degrees. The distinct sites, in fractional coordinates, are Li at (0.000, 0.000, 0.000), Y at (0.000, 0.000, 0.500) and W at (0.500, 0.500, 0.236).



In order of decreasing stability: w), x).



w) LiZn2W | GGA-PBEsol | relaxed

As for the spin magnetization: 0.0 μB per cell. The crystal system is monoclinic.

The space group is C2/m (No. 12) and the conventional cell measures 8.803, 2.552 and 5.182 Å, with angles of 90.00, 96.61 and 90.00 degrees. The distinct sites, in fractional coordinates, are Li at (0.000, 0.000, 0.000), Zn at (0.249, 0.000, 0.750) and W at (0.000, 0.500, 0.500).



x) LiZn2W | GGA-PBEsol | relaxed

As for the spin magnetization: 0.0 μB per cell. The crystal system is tetragonal.

The space group is I-4m2 (No. 119) and the conventional cell measures 3.711, 3.711 and 8.074 Å, with angles of 90.00, 90.00 and 90.00 degrees. The distinct sites, in fractional coordinates, are Li at (0.000, 0.000, 0.000), Zn at (0.000, 0.000, 0.500), Zn at (0.000, 0.500, 0.750) and W at (0.000, 0.500, 0.250).



y) LiZn2W | GGA-PBEsol | relaxed

As for the spin magnetization: 0.0 μB per cell. The crystal system is trigonal.

The space group is R-3m (No. 166, hexagonal axes) and the conventional cell measures 2.7290, 2.7290 and 27.3573 Å, with angles of 90.00, 90.00 and 120.00 degrees. The distinct sites, in fractional coordinates, are Li at (0.0000, 0.0000, 0.0000), Zn at (0.0000, 0.0000, 0.2508) and W at (0.0000, 0.0000, 0.5000).



In order of decreasing stability: y), w), x).



w) LiZn2W | GGA-PBEsol | relaxed

As for the spin magnetization: 0.7 μB per cell. The crystal system is tetragonal.

The space group is I4/mmm (No. 139) and the conventional cell measures 3.976, 3.976 and 7.012 Å, with angles of 90.00, 90.00 and 90.00 degrees. The distinct sites, in fractional coordinates, are Li at (0.000, 0.000, 0.000), Zn at (0.000, 0.500, 0.250) and W at (0.000, 0.000, 0.500).



x) LiZn2W | GGA-PBEsol | relaxed

As for the spin magnetization: 0.0 μB per cell. The crystal system is orthorhombic.

The space group is Cmm2 (No. 35) and the conventional cell measures 3.234, 4.094 and 8.737 Å, with angles of 90.00, 90.00 and 90.00 degrees. The distinct sites, in fractional coordinates, are Li at (0.000, 0.000, 0.000), Zn at (0.000, 0.000, 0.512), Zn at (0.000, 0.500, 0.757) and W at (0.000, 0.500, 0.264).



In order of decreasing stability: x), w).